Record 1
## LiCaMg4 (PBE)

Data for crystalline LiCaMg4 at its relaxed geometry.

## Properties
DFT formation energy = -0.002 eV/atom
Polymorph energy (0 for the lowest one) = 19 meV per atom
Volume = 25.24 Å³ per atom

Unit cell a=5.802 b=7.603 c=8.142 alpha=62.24 beta=74.41 gamma=89.99
Space group P-1 (No. 2)
Symmetry-distinct sites (fractional):
Li 0.239 0.038 0.424 (multiplicity 2)
Ca 0.359 0.284 0.930 (multiplicity 2)
Mg 0.061 0.812 0.268 (multiplicity 2)
Mg 0.063 0.420 0.268 (multiplicity 2)
Mg 0.241 0.833 0.832 (multiplicity 2)
Mg 0.499 0.702 0.501 (multiplicity 2)



Record 2
## LaZn3Au (PBE)

Data for crystalline LaZn3Au at its relaxed geometry.

## Properties
DFT formation energy = -0.173 eV/atom
Polymorph energy (0 for the lowest one) = 281 meV per atom
Volume = 23.26 Å³ per atom

Unit cell a=4.881 b=4.881 c=4.881 alpha=90.00 beta=90.00 gamma=90.00
Space group Pm-3m (No. 221)
Symmetry-distinct sites (fractional):
La 0.000 0.000 0.000 (multiplicity 1)
Zn 0.000 0.500 0.500 (multiplicity 3)
Au 0.500 0.500 0.500 (multiplicity 1)



Record 3
## W3ICl (PBE)

Data for crystalline W3ICl at its relaxed geometry.

## Properties
Volume = 18.65 Å³ per atom
ΔE_f (raw) = 2099 meV/atom

Unit cell a=4.535 b=4.535 c=4.535 alpha=90.00 beta=90.00 gamma=90.00
Space group Pm-3m (No. 221)
Symmetry-distinct sites (fractional):
W 0.000 0.000 0.500 (multiplicity 3)
I 0.500 0.500 0.500 (multiplicity 1)
Cl 0.000 0.000 0.000 (multiplicity 1)



Record 4
## Eu2LuPb (PBE)

Data for crystalline Eu2LuPb at its relaxed geometry.

## Properties
DFT formation energy = -0.263 eV/atom
Polymorph energy (0 for the lowest one) = 0 meV per atom
Volume = 31.16 Å³ per atom

Unit cell a=4.921 b=4.921 c=5.148 alpha=90.00 beta=90.00 gamma=90.00
Space group P4/mmm (No. 123)
Symmetry-distinct sites (fractional):
Eu 0.000 0.500 0.000 (multiplicity 2)
Lu 0.000 0.000 0.500 (multiplicity 1)
Pb 0.500 0.500 0.500 (multiplicity 1)



Record 5
## WSNCl2 (PBE)

Data for crystalline WSNCl2 at its relaxed geometry.

## Properties
Polymorph energy (0 for the lowest one) = 0 meV per atom
Volume = 21.71 Å³ per atom
ΔE_f (raw) = 827 meV/atom

Unit cell a=4.853 b=4.853 c=4.607 alpha=90.00 beta=90.00 gamma=90.00
Space group P4/mmm (No. 123)
Symmetry-distinct sites (fractional):
W 0.000 0.000 0.000 (multiplicity 1)
S 0.000 0.000 0.500 (multiplicity 1)
N 0.500 0.500 0.500 (multiplicity 1)
Cl 0.000 0.500 0.000 (multiplicity 2)



Record 6
## YSb2Cl (PBE)

Data for crystalline YSb2Cl at its relaxed geometry.

## Properties
Polymorph energy (0 for the lowest one) = 348 meV per atom
Volume = 26.42 Å³ per atom
ΔE_f (raw) = -512 meV/atom

Unit cell a=5.467 b=5.467 c=7.072 alpha=90.00 beta=90.00 gamma=90.00
Space group I-4m2 (No. 119)
Symmetry-distinct sites (fractional):
Y 0.000 0.000 0.000 (multiplicity 2)
Sb 0.000 0.000 0.500 (multiplicity 2)
Sb 0.000 0.500 0.250 (multiplicity 2)
Cl 0.000 0.500 0.750 (multiplicity 2)



Record 7
## TaNb3Ga (PBE)

Data for crystalline TaNb3Ga at its relaxed geometry.

## Properties
DFT formation energy = 1.391 eV/atom
Polymorph energy (0 for the lowest one) = 1340 meV per atom
Volume = 23.45 Å³ per atom

Unit cell a=4.895 b=4.895 c=4.895 alpha=90.00 beta=90.00 gamma=90.00
Space group Pm-3m (No. 221)
Symmetry-distinct sites (fractional):
Ta 0.000 0.000 0.000 (multiplicity 1)
Nb 0.000 0.000 0.500 (multiplicity 3)
Ga 0.500 0.500 0.500 (multiplicity 1)



Record 8
## Hf4NbAu2 (PBE)

Data for crystalline Hf4NbAu2 at its relaxed geometry.

## Properties
DFT formation energy = -0.106 eV/atom
Volume = 21.41 Å³ per atom

Unit cell a=6.876 b=9.319 c=4.678 alpha=90.00 beta=90.00 gamma=90.00
Space group Cmmm (No. 65)
Symmetry-distinct sites (fractional):
Hf 0.248 0.000 0.000 (multiplicity 4)
Hf 0.250 0.250 0.500 (multiplicity 4)
Nb 0.000 0.500 0.500 (multiplicity 2)
Au 0.000 0.246 0.000 (multiplicity 4)



Record 9
## La2CdCo (PBE)

Data for crystalline La2CdCo at its relaxed geometry.

## Properties
DFT formation energy = 0.027 eV/atom
Volume = 27.17 Å³ per atom

Unit cell a=8.066 b=8.066 c=6.682 alpha=90.00 beta=90.00 gamma=90.00
Space group I-42d (No. 122)
Symmetry-distinct sites (fractional):
La 0.180 0.750 0.125 (multiplicity 8)
Cd 0.000 0.000 0.500 (multiplicity 4)
Co 0.000 0.000 0.000 (multiplicity 4)



Record 10
## Rb2NaTcH6 (PBE)

Data for crystalline Rb2NaTcH6 at its relaxed geometry.

## Properties
Electronic total energy = -34.32 eV per formula unit
Volume = 15.10 Å³ per atom

Unit cell a=5.944 b=5.994 c=8.479 alpha=90.00 beta=90.00 gamma=90.00
Space group Immm (No. 71)
Symmetry-distinct sites (fractional):
Rb 0.000 0.000 0.250 (multiplicity 4)
Na 0.000 0.500 0.000 (multiplicity 2)
Tc 0.000 0.500 0.500 (multiplicity 2)
H 0.000 0.500 0.287 (multiplicity 4)
H 0.212 0.284 0.500 (multiplicity 8)



Record 11
## La2MgAl3Cu12 (PBE)

Data for crystalline La2MgAl3Cu12 at its relaxed geometry.

## Properties
DFT formation energy = 0.227 eV/atom
Volume = 18.99 Å³ per atom

Unit cell a=8.1201 b=8.1201 c=17.9578 alpha=90.00 beta=90.00 gamma=120.00
Space group R-3m (No. 166, hexagonal axes)
Symmetry-distinct sites (fractional):
La 0.0000 0.0000 0.0944 (multiplicity 6)
Mg 0.0000 0.0000 0.5000 (multiplicity 3)
Al 0.0000 0.5000 0.0000 (multiplicity 9)
Cu 0.0034 0.5017 0.8573 (multiplicity 18)
Cu 0.1084 0.5542 0.4078 (multiplicity 18)



Record 12
## Zn2HgIr (PBE)

Data for crystalline Zn2HgIr at its relaxed geometry.

## Properties
DFT formation energy = 0.095 eV/atom
Volume = 17.01 Å³ per atom

Unit cell a=2.9262 b=2.9262 c=27.5310 alpha=90.00 beta=90.00 gamma=120.00
Space group R-3m (No. 166, hexagonal axes)
Symmetry-distinct sites (fractional):
Zn 0.0000 0.0000 0.2395 (multiplicity 6)
Hg 0.0000 0.0000 0.0000 (multiplicity 3)
Ir 0.0000 0.0000 0.5000 (multiplicity 3)



Record 13
## Pm2Dy2YEr2 (PBE)

Data for crystalline Pm2Dy2YEr2 at its relaxed geometry.

## Properties
DFT formation energy = 0.088 eV/atom
Volume = 32.76 Å³ per atom

Unit cell a=11.706 b=3.517 c=11.794 alpha=90.00 beta=109.17 gamma=90.00
Space group C2/m (No. 12)
Symmetry-distinct sites (fractional):
Pm 0.171 0.000 0.085 (multiplicity 4)
Dy 0.051 0.000 0.771 (multiplicity 4)
Y 0.000 0.500 0.500 (multiplicity 2)
Er 0.226 0.500 0.363 (multiplicity 4)



Record 14
## BaGaHg6 (PBE)

Data for crystalline BaGaHg6 at its relaxed geometry.

## Properties
DFT formation energy = -0.212 eV/atom
Volume = 27.85 Å³ per atom

Unit cell a=5.2109 b=5.2109 c=28.4242 alpha=90.00 beta=90.00 gamma=120.00
Space group R-3m (No. 166, hexagonal axes)
Symmetry-distinct sites (fractional):
Ba 0.0000 0.0000 0.0000 (multiplicity 3)
Ga 0.0000 0.0000 0.5000 (multiplicity 3)
Hg 0.0000 0.0000 0.1354 (multiplicity 6)
Hg 0.0000 0.0000 0.2523 (multiplicity 6)
Hg 0.0000 0.0000 0.3962 (multiplicity 6)



Record 15
## Al2AsSe (PBE)

Data for crystalline Al2AsSe at its relaxed geometry.

## Properties
Polymorph energy (0 for the lowest one) = 0 meV per atom
Volume = 19.36 Å³ per atom
ΔE_f (raw) = -404 meV/atom

Unit cell a=3.7986 b=3.7986 c=18.5874 alpha=90.00 beta=90.00 gamma=120.00
Space group R-3m (No. 166, hexagonal axes)
Symmetry-distinct sites (fractional):
Al 0.0000 0.0000 0.2439 (multiplicity 6)
As 0.0000 0.0000 0.5000 (multiplicity 3)
Se 0.0000 0.0000 0.0000 (multiplicity 3)



Record 16
## ZrMn2Br (PBE)

Data for crystalline ZrMn2Br at its relaxed geometry.

## Properties
Polymorph energy (0 for the lowest one) = 340 meV per atom
Volume = 18.83 Å³ per atom
ΔE_f (raw) = 385 meV/atom

Unit cell a=3.292 b=4.974 c=9.199 alpha=90.00 beta=90.00 gamma=90.00
Space group Imm2 (No. 44)
Symmetry-distinct sites (fractional):
Zr 0.000 0.000 0.000 (multiplicity 2)
Mn 0.000 0.000 0.498 (multiplicity 2)
Mn 0.000 0.500 0.236 (multiplicity 2)
Br 0.000 0.500 0.759 (multiplicity 2)



Record 17
## CaAgIO2 (PBE)

Data for crystalline CaAgIO2 at its relaxed geometry.

## Properties
Polymorph energy (0 for the lowest one) = 0 meV per atom
Volume = 25.50 Å³ per atom
ΔE_f (raw) = -463 meV/atom

Unit cell a=4.327 b=4.327 c=6.809 alpha=90.00 beta=90.00 gamma=90.00
Space group P4/mmm (No. 123)
Symmetry-distinct sites (fractional):
Ca 0.000 0.000 0.000 (multiplicity 1)
Ag 0.500 0.500 0.500 (multiplicity 1)
I 0.000 0.000 0.500 (multiplicity 1)
O 0.000 0.500 0.000 (multiplicity 2)



Record 18
## BaMnPt2 (PBE)

Data for crystalline BaMnPt2 at its relaxed geometry.

## Properties
DFT formation energy = 0.006 eV/atom
Volume = 22.02 Å³ per atom

Unit cell a=4.969 b=4.969 c=3.567 alpha=90.00 beta=90.00 gamma=90.00
Space group P4/mmm (No. 123)
Symmetry-distinct sites (fractional):
Ba 0.000 0.000 0.000 (multiplicity 1)
Mn 0.500 0.500 0.000 (multiplicity 1)
Pt 0.000 0.500 0.500 (multiplicity 2)



Record 19
## Ca6MgIn3 (PBE)

Data for crystalline Ca6MgIn3 at its relaxed geometry.

## Properties
DFT formation energy = -0.307 eV/atom
Volume = 30.77 Å³ per atom

Unit cell a=9.563 b=5.572 c=12.260 alpha=90.00 beta=109.62 gamma=90.00
Space group P2_1/m (No. 11)
Symmetry-distinct sites (fractional):
Ca 0.033 0.250 0.419 (multiplicity 2)
Ca 0.154 0.750 0.174 (multiplicity 2)
Ca 0.243 0.250 0.001 (multiplicity 2)
Ca 0.334 0.750 0.797 (multiplicity 2)
Ca 0.356 0.250 0.331 (multiplicity 2)
Ca 0.405 0.250 0.625 (multiplicity 2)
Mg 0.456 0.750 0.086 (multiplicity 2)
In 0.040 0.750 0.877 (multiplicity 2)
In 0.113 0.250 0.716 (multiplicity 2)
In 0.271 0.750 0.475 (multiplicity 2)